Record 1
Density functional theory data (PBE-GGA) for a relaxed La4Te3P crystal.

Values from the calculation:
* DOS(E_F): 14.7 states/eV per cell
* E_form (uncorrected): -1.6233 eV/atom
* V: 32.3 A^3/atom

Cell: 4.4463 4.4463 45.3136 Å, 90.00 90.00 120.00°
Closest atoms and distances in Å follow each position.
Space group R-3m (No. 166, hexagonal axes)
Unique sites:
La: 0.0000 0.0000 0.1243 (multiplicity 6)  6 Te 3.21-3.25
La: 0.0000 0.0000 0.3677 (multiplicity 6)  3 P 3.00, 3 Te 3.31
Te: 0.0000 0.0000 0.2529 (multiplicity 6)  6 La 3.25-3.31
Te: 0.0000 0.0000 0.5000 (multiplicity 3)  6 La 3.21
P: 0.0000 0.0000 0.0000 (multiplicity 3)  6 La 3.00

Record 2
Density functional theory data (PBE-GGA) for a relaxed Tb2CeNdHo crystal.

Values from the calculation:
* formation enthalpy at 0 K: 283 meV per atom
* DOS(E_F): 20.1 states/eV per cell
* V: 33.0 A^3/atom

Cell: 5.9036 7.8322 7.1419 Å, 90.00 90.00 90.00°
Closest atoms and distances in Å follow each position.
Space group Pmma (No. 51)
Unique sites:
Tb: 0.2500 0.2084 0.1816 (multiplicity 4)  1 Ho 3.08, 1 Tb 3.26
Ce: 0.0000 0.5000 0.5000 (multiplicity 2)  2 Ce 2.95, 2 Ho 3.16
Nd: 0.2500 0.0000 0.6627 (multiplicity 2)  6 Tb 3.55-3.80, 2 Nd 3.76
Ho: 0.2500 0.5000 0.8917 (multiplicity 2)  2 Tb 3.08, 2 Ce 3.16, 2 Ho 3.33

Record 3
Density functional theory data (PBE-GGA) for a relaxed Ba2GaHgW crystal.

Values from the calculation:
* formation enthalpy at 0 K: 1009 meV per atom
* DOS(E_F): 2.5 states/eV per cell
* V: 40.3 A^3/atom

Cell: 6.3814 6.3814 4.9428 Å, 90.00 90.00 90.00°
Closest atoms and distances in Å follow each position.
Space group P4/mmm (No. 123)
Unique sites:
Ba: 0.0000 0.5000 0.0000 (multiplicity 2)  2 Ga 3.19
Ga: 0.0000 0.0000 0.0000 (multiplicity 1)  2 Hg 2.47
Hg: 0.0000 0.0000 0.5000 (multiplicity 1)  2 Ga 2.47
W: 0.5000 0.5000 0.5000 (multiplicity 1)  8 Ba 4.04, 4 Hg 4.51

Record 4
Density functional theory data (PBE-GGA) for a relaxed KBaPt crystal.

Values from the calculation:
* formation enthalpy at 0 K: -416 meV per atom
* DOS(E_F): 4.7 states/eV per cell
* V: 41.9 A^3/atom

Cell: 4.3963 24.3513 4.6941 Å, 90.00 90.00 90.00°
Closest atoms and distances in Å follow each position.
Space group Cmcm (No. 63)
Unique sites:
K: 0.0000 0.1833 0.2500 (multiplicity 4)  1 Pt 3.60
Ba: 0.0000 0.4347 0.2500 (multiplicity 4)  6 Pt 3.29-3.30
Pt: 0.0000 0.0355 0.2500 (multiplicity 4)  2 Pt 2.91

Record 5
Density functional theory data (PBE-GGA) for a relaxed Rb2InHg6 crystal.

Values from the calculation:
* formation enthalpy at 0 K: -204 meV per atom
* DOS(E_F): 5.9 states/eV per cell
* V: 32.7 A^3/atom

Cell: 12.5972 7.2517 6.4479 Å, 90.00 90.17 90.00°
Closest atoms and distances in Å follow each position.
Space group C2/m (No. 12)
Unique sites:
Rb: 0.1662 0.0000 0.1591 (multiplicity 4)  12 Hg 3.71-3.81
In: 0.0000 0.5000 0.0000 (multiplicity 2)  6 Hg 3.14
Hg: 0.0910 0.2278 0.6654 (multiplicity 8)  4 Hg 3.13-3.30, 1 In 3.14
Hg: 0.1822 0.5000 0.3342 (multiplicity 4)  4 Hg 3.13-3.30, 1 In 3.14

Record 6
Density functional theory data (PBE-GGA) for a relaxed KHfTcN3 crystal.

Values from the calculation:
* DOS(E_F): 2.7 states/eV per cell
* E_form (uncorrected): -0.6282 eV/atom
* V: 16.7 A^3/atom

Cell: 6.8847 3.3153 9.3703 Å, 90.00 110.02 90.00°
Closest atoms and distances in Å follow each position.
Space group P2_1/m (No. 11)
Unique sites:
K: 0.1724 0.2500 0.1955 (multiplicity 2)  5 N 2.71-2.99
Hf: 0.3674 0.2500 0.8621 (multiplicity 2)  5 N 2.10-2.31
Tc: 0.1420 0.7500 0.5764 (multiplicity 2)  1 N 1.81
N: 0.0351 0.2500 0.6569 (multiplicity 2)  3 Tc 2.06-2.11
N: 0.3238 0.7500 0.9894 (multiplicity 2)  3 Hf 2.10-2.12
N: 0.4083 0.7500 0.7031 (multiplicity 2)  1 Tc 1.81

Record 7
Density functional theory data (PBE-GGA) for a relaxed Li4Np3ScN8 crystal.

Values from the calculation:
* DOS(E_F): 35.9 states/eV per cell
* E_form (uncorrected): -0.9826 eV/atom
* V: 12.4 A^3/atom

Cell: 6.7483 6.7483 15.0742 Å, 90.00 90.00 120.00°
Closest atoms and distances in Å follow each position.
Space group R-3m (No. 166, hexagonal axes)
Unique sites:
Li: 0.0000 0.0000 0.0000 (multiplicity 3)  6 N 2.38
Li: 0.0000 0.5000 0.0000 (multiplicity 9)  6 N 2.42-2.47
Np: 0.0000 0.5000 0.5000 (multiplicity 9)  6 N 2.18-2.22
Sc: 0.0000 0.0000 0.5000 (multiplicity 3)  6 N 2.28
N: 0.0000 0.0000 0.2379 (multiplicity 6)  3 Np 2.22, 3 Li 2.42
N: 0.0131 0.5066 0.7643 (multiplicity 18)  2 Np 2.18, 1 Sc 2.28, 1 Li 2.38

Record 8
Density functional theory data (PBE-GGA) for a relaxed SrTl2PdF6 crystal.

Values from the calculation:
* E_form (uncorrected): -2.1564 eV/atom
* V: 23.4 A^3/atom

Cell: 6.5182 6.5182 6.3651 Å, 90.00 90.00 120.00°
Closest atoms and distances in Å follow each position.
Space group P-3m1 (No. 164)
Unique sites:
Sr: 0.0000 0.0000 0.0000 (multiplicity 1)  6 F 2.46
Tl: 0.3333 0.6667 0.4748 (multiplicity 2)  3 F 2.59
Pd: 0.0000 0.0000 0.5000 (multiplicity 1)  6 F 2.22
F: 0.1513 0.3026 0.7217 (multiplicity 6)  1 Pd 2.22, 1 Sr 2.46

Record 9
Density functional theory data (PBE-GGA) for a relaxed Na2MoPtSe crystal.

Values from the calculation:
* DOS(E_F): 2.2 states/eV per cell
* E_form (uncorrected): 0.7356 eV/atom
* V: 27.0 A^3/atom

Cell: 5.2696 5.2696 4.8641 Å, 90.00 90.00 90.00°
Closest atoms and distances in Å follow each position.
Space group P4/mmm (No. 123)
Unique sites:
Na: 0.0000 0.5000 0.0000 (multiplicity 2)  2 Se 2.63
Mo: 0.0000 0.0000 0.5000 (multiplicity 1)  8 Na 3.59, 4 Pt 3.73
Pt: 0.5000 0.5000 0.5000 (multiplicity 1)  2 Se 2.43
Se: 0.5000 0.5000 0.0000 (multiplicity 1)  2 Pt 2.43, 4 Na 2.63

Record 10
Density functional theory data (PBE-GGA) for a relaxed Rb3Dy2PbS6 crystal.

Values from the calculation:
* DOS(E_F): 9.1 states/eV per cell
* E_form (uncorrected): -1.4352 eV/atom
* V: 28.4 A^3/atom

Cell: 7.1506 12.3855 8.0535 Å, 90.00 107.18 90.00°
Closest atoms and distances in Å follow each position.
Space group C2/m (No. 12)
Unique sites:
Rb: 0.0000 0.0000 0.0000 (multiplicity 2)  6 S 3.29-3.38
Rb: 0.0000 0.3367 0.0000 (multiplicity 4)  6 S 3.31-3.38
Dy: 0.0000 0.1670 0.5000 (multiplicity 4)  6 S 2.78
Pb: 0.0000 0.5000 0.5000 (multiplicity 2)  6 S 2.89
S: 0.2192 0.0000 0.6943 (multiplicity 4)  2 Dy 2.78, 1 Pb 2.89
S: 0.2379 0.3272 0.6952 (multiplicity 8)  2 Dy 2.78, 1 Pb 2.89

Record 11
Density functional theory data (PBE-GGA) for a relaxed LiGa2Te2 crystal.

Values from the calculation:
* polymorph energy (0 for the lowest one): 45 kJ/mol of formula units
* DOS(E_F): 3.9 states/eV per cell
* E_form (uncorrected): -0.2052 eV/atom
* V: 25.7 A^3/atom

Cell: 4.0732 4.0732 15.5063 Å, 90.00 90.00 90.00°
Closest atoms and distances in Å follow each position.
Space group I4/mmm (No. 139)
Unique sites:
Li: 0.0000 0.0000 0.0000 (multiplicity 2)  8 Te 3.24
Ga: 0.0000 0.5000 0.2500 (multiplicity 4)  4 Ga 2.88, 4 Te 3.14
Te: 0.0000 0.0000 0.4042 (multiplicity 4)  1 Te 2.97, 4 Ga 3.14, 4 Li 3.24

Record 12
Density functional theory data (PBE-GGA) for a relaxed Ho3TmIn4 crystal.

Values from the calculation:
* formation enthalpy at 0 K: -298 meV per atom
* polymorph energy (0 for the lowest one): 115 kJ/mol of formula units
* DOS(E_F): 11.1 states/eV per cell
* V: 28.0 A^3/atom

Cell: 3.4179 6.7626 19.3659 Å, 90.00 90.00 90.00°
Closest atoms and distances in Å follow each position.
Space group Immm (No. 71)
Unique sites:
Ho: 0.0000 0.0000 0.0000 (multiplicity 2)  8 In 3.34, 2 Ho 3.42
Ho: 0.0000 0.5000 0.2265 (multiplicity 4)  6 In 3.19-3.23, 2 Ho 3.42
Tm: 0.0000 0.0000 0.5000 (multiplicity 2)  4 In 3.07, 2 Tm 3.42
In: 0.0000 0.2759 0.3738 (multiplicity 8)  1 In 3.03, 1 Tm 3.07, 5 Ho 3.19-3.34